Pm2Ge2Rh | PBE-GGA | relaxed

Cell and atoms, written as POSCAR:
```
Pm2Ge2Rh
1.0
-2.9502 2.7487 -1.6460
-2.1743 -1.9676 -5.1504
-8.1014 -2.8095 4.0667
Ge Pm Rh
4 4 2
direct
0.9236 0.7239 0.4288
0.0764 0.2761 0.5712
0.6400 0.8446 0.8755
0.3600 0.1554 0.1245
0.3282 0.6726 0.6711
0.6718 0.3274 0.3289
0.9278 0.2534 0.8910
0.0722 0.7466 0.1090
0.6518 0.0714 0.6251
0.3482 0.9286 0.3749
```

Mass density = 8.1 g/cm3
Formation energy from the elements = -430 kJ/mol of formula units